Entry 1:
# Zn3InI

Zn3InI after structural relaxation (PBE, Alexandria via LeMat-Bulk).

Cell lengths 5.2551, 5.2551, 5.2551 Å; angles 90.00, 90.00, 90.00 degrees
Last column: nearest neighbours and their distance in Å.
Atoms (fractional coordinates):
Zn 0.0000 0.0000 0.5000  2 In 2.63
Zn 0.0000 0.5000 0.0000  2 In 2.63
Zn 0.5000 0.0000 0.0000  2 In 2.63
In 0.0000 0.0000 0.0000  6 Zn 2.63
I 0.5000 0.5000 0.5000  12 Zn 3.72

E above lowest polymorph ... 0 meV/atom
Spin magnetization ... 0.000 μB per formula unit
Raw total energy ... -1.432 eV/atom
ΔE_f (raw) ... 0.191 eV per atom

Entry 2:
# La2Zn4CdPt3

La2Zn4CdPt3 after structural relaxation (PBE, Alexandria via LeMat-Bulk).

Cell lengths 4.1627, 4.1627, 11.7230 Å; angles 90.00, 90.00, 90.00 degrees
Last column: nearest neighbours and their distance in Å.
Atoms (fractional coordinates):
La 0.0000 0.5000 0.2342  4 Pt 3.15, 8 Zn 3.29-3.45
La 0.5000 0.0000 0.7658  4 Pt 3.15, 8 Zn 3.29-3.45
Zn 0.0000 0.0000 0.0000  4 Pt 2.65, 4 Zn 2.94
Zn 0.0000 0.5000 0.6409  3 Pt 2.58-2.66, 2 Cd 2.66
Zn 0.5000 0.0000 0.3591  3 Pt 2.58-2.66, 2 Cd 2.66
Zn 0.5000 0.5000 0.0000  4 Pt 2.65, 4 Zn 2.94
Cd 0.0000 0.0000 0.5000  4 Zn 2.66, 4 Pt 2.94
Pt 0.0000 0.5000 0.8606  5 Zn 2.58-2.65
Pt 0.5000 0.0000 0.1394  5 Zn 2.58-2.65
Pt 0.5000 0.5000 0.5000  4 Zn 2.66, 4 Cd 2.94

Spin magnetization ... 0.000 μB per formula unit
Raw total energy ... -4.086 eV/atom
ΔH_f (0 K) ... -0.6870 eV per atom

Entry 3:
# Cd2HgHPd

Cd2HgHPd after structural relaxation (PBE, Alexandria via LeMat-Bulk).

Cell lengths 4.8990, 4.8990, 3.4941 Å; angles 90.00, 90.00, 90.00 degrees
Last column: nearest neighbours and their distance in Å.
Atoms (fractional coordinates):
Cd 0.0000 0.5000 0.0000  2 H 2.45
Cd 0.5000 0.0000 0.0000  2 H 2.45
Hg 0.0000 0.0000 0.5000  8 Cd 3.01
H 0.5000 0.5000 0.0000  2 Pd 1.75
Pd 0.5000 0.5000 0.5000  2 H 1.75

E above lowest polymorph ... 0 meV/atom
Spin magnetization ... 0.000 μB per formula unit
Raw total energy ... -2.154 eV/atom